(1)
VASP calculation (GGA-PBE) on a geometry-optimized ZnReAs structure.

Output
E in eV per atom: -5.631
DFT formation energy in eV per atom: 0.49
Polymorph energy (0 for the lowest one) in eV/f.u.: 1.14

a b c (Å): 4.2054 4.2054 4.2054
angles (deg): 60.00 60.00 60.00
Fractional positions:
Zn 0.0000 0.0000 0.0000
Re 0.7500 0.7500 0.7500
As 0.5000 0.5000 0.5000

***

(2)
VASP calculation (GGA-PBE) on a geometry-optimized Ta3InAs structure.

Output
E in eV per atom: -7.752
DFT formation energy in eV per atom: 0.84
Polymorph energy (0 for the lowest one) in eV/f.u.: 0.00

a b c (Å): 4.7647 4.7647 4.7647
angles (deg): 90.00 90.00 90.00
Fractional positions:
Ta 0.0000 0.0000 0.5000
Ta 0.0000 0.5000 0.0000
Ta 0.5000 0.0000 0.0000
In 0.5000 0.5000 0.5000
As 0.0000 0.0000 0.0000

***

(3)
VASP calculation (GGA-PBE) on a geometry-optimized LaPr4Se6 structure.

Output
E in eV per atom: -5.988

a b c (Å): 7.3096 7.3096 21.4851
angles (deg): 90.00 90.00 146.61
Fractional positions:
La 0.1571 0.8429 0.7500
La 0.8429 0.1571 0.2500
Pr 0.0895 0.9105 0.1277
Pr 0.0895 0.9105 0.3723
Pr 0.3590 0.6410 0.0396
Pr 0.3590 0.6410 0.4604
Pr 0.6410 0.3590 0.5396
Pr 0.6410 0.3590 0.9604
Pr 0.9105 0.0895 0.6277
Pr 0.9105 0.0895 0.8723
Se 0.0000 0.0000 0.0000
Se 0.0000 0.0000 0.5000
Se 0.1897 0.8103 0.2500
Se 0.2687 0.7313 0.5922
Se 0.2687 0.7313 0.9078
Se 0.4480 0.5520 0.1682
Se 0.4480 0.5520 0.3318
Se 0.5520 0.4480 0.6682
Se 0.5520 0.4480 0.8318
Se 0.7313 0.2687 0.0922
Se 0.7313 0.2687 0.4078
Se 0.8103 0.1897 0.7500

***

(4)
VASP calculation (GGA-PBE) on a geometry-optimized Cd5Ag6Au structure.

Output
E in eV per atom: -2.145
DFT formation energy in eV per atom: -0.07

a b c (Å): 7.9799 7.9799 4.3021
angles (deg): 105.41 105.41 61.66
Fractional positions:
Cd 0.0000 0.0000 0.0000
Cd 0.1683 0.1683 0.6683
Cd 0.3390 0.3390 0.3389
Cd 0.6610 0.6610 0.6611
Cd 0.8317 0.8317 0.3317
Ag 0.0832 0.5842 0.8338
Ag 0.2488 0.7512 0.5000
Ag 0.4158 0.9168 0.1662
Ag 0.5842 0.0832 0.8338
Ag 0.7512 0.2488 0.5000
Ag 0.9168 0.4158 0.1662
Au 0.5000 0.5000 0.0000

***

(5)
VASP calculation (GGA-PBE) on a geometry-optimized IOF2 structure.

Output
E in eV per atom: -2.540
Polymorph energy (0 for the lowest one) in eV/f.u.: 3.85

a b c (Å): 6.9152 6.9152 6.9152
angles (deg): 32.34 32.34 32.34
Fractional positions:
I 0.0000 0.0000 0.0000
O 0.5000 0.5000 0.5000
F 0.1027 0.1027 0.1027
F 0.8973 0.8973 0.8973

***

(6)
VASP calculation (GGA-PBE) on a geometry-optimized NaSrP structure.

Output
E in eV per atom: -3.560
DFT formation energy in eV per atom: -0.76

a b c (Å): 9.0853 9.0853 9.0853
angles (deg): 31.43 31.43 31.43
Fractional positions:
Na 0.1429 0.1429 0.1429
Na 0.8571 0.8571 0.8571
Sr 0.3851 0.3851 0.3851
Sr 0.6149 0.6149 0.6149
P 0.0000 0.0000 0.0000
P 0.5000 0.5000 0.5000

***

(7)
VASP calculation (GGA-PBE) on a geometry-optimized BeReTe2N structure.

Output
E in eV per atom: -5.261
Polymorph energy (0 for the lowest one) in eV/f.u.: 1.00

a b c (Å): 5.1795 5.1795 3.0694
angles (deg): 90.00 90.00 90.00
Fractional positions:
Be 0.0000 0.0000 0.0000
Re 0.5000 0.5000 0.5000
Te 0.0000 0.5000 0.0000
Te 0.5000 0.0000 0.0000
N 0.0000 0.0000 0.5000

***

(8)
VASP calculation (GGA-PBE) on a geometry-optimized ZnCr2Ru structure.

Output
E in eV per atom: -7.307
DFT formation energy in eV per atom: 0.14

a b c (Å): 4.9186 4.9186 4.9186
angles (deg): 144.59 131.54 61.43
Fractional positions:
Zn 0.0000 0.0000 0.0000
Cr 0.2570 0.7570 0.5000
Cr 0.7430 0.2430 0.5000
Ru 0.5000 0.5000 0.0000

***

(9)
VASP calculation (GGA-PBE) on a geometry-optimized AcPRuF structure.

Output
E in eV per atom: -7.244

a b c (Å): 4.0974 4.0974 8.7903
angles (deg): 90.00 90.00 90.00
Fractional positions:
Ac 0.2500 0.2500 0.1948
Ac 0.7500 0.7500 0.8052
P 0.2500 0.2500 0.6364
P 0.7500 0.7500 0.3636
Ru 0.2500 0.7500 0.5000
Ru 0.7500 0.2500 0.5000
F 0.2500 0.7500 0.0000
F 0.7500 0.2500 0.0000

***

(10)
VASP calculation (GGA-PBE) on a geometry-optimized Na2CaAu9 structure.

Output
E in eV per atom: -3.220
DFT formation energy in eV per atom: -0.38

a b c (Å): 9.9953 9.9953 9.9953
angles (deg): 32.31 32.31 32.31
Fractional positions:
Na 0.1458 0.1458 0.1458
Na 0.8542 0.8542 0.8542
Ca 0.0000 0.0000 0.0000
Au 0.0828 0.5858 0.5858
Au 0.3326 0.3326 0.3326
Au 0.4142 0.4142 0.9172
Au 0.4142 0.9172 0.4142
Au 0.5000 0.5000 0.5000
Au 0.5858 0.0828 0.5858
Au 0.5858 0.5858 0.0828
Au 0.6674 0.6674 0.6674
Au 0.9172 0.4142 0.4142

***

(11)
VASP calculation (GGA-PBE) on a geometry-optimized K2Rh structure.

Output
E in eV per atom: -2.428
DFT formation energy in eV per atom: 0.75
Polymorph energy (0 for the lowest one) in eV/f.u.: 1.20

a b c (Å): 8.9010 8.9010 4.7107
angles (deg): 90.00 90.00 120.00
Fractional positions:
K 0.0000 0.2617 0.0000
K 0.0000 0.5959 0.5000
K 0.2617 0.0000 0.0000
K 0.4041 0.4041 0.5000
K 0.5959 0.0000 0.5000
K 0.7383 0.7383 0.0000
Rh 0.0000 0.0000 0.5000
Rh 0.3333 0.6667 0.0000
Rh 0.6667 0.3333 0.0000

***

(12)
VASP calculation (GGA-PBE) on a geometry-optimized PmTmMgGe structure.

Output
E in eV per atom: -4.202
DFT formation energy in eV per atom: -0.34

a b c (Å): 5.1665 5.1665 5.1665
angles (deg): 60.00 60.00 60.00
Fractional positions:
Pm 0.0000 0.0000 0.0000
Tm 0.5000 0.5000 0.5000
Mg 0.2500 0.2500 0.2500
Ge 0.7500 0.7500 0.7500

***

(13)
VASP calculation (GGA-PBE) on a geometry-optimized MnIn2Tc structure.

Output
E in eV per atom: -5.997
DFT formation energy in eV per atom: 0.26
Polymorph energy (0 for the lowest one) in eV/f.u.: 0.24

a b c (Å): 5.0429 5.0429 5.0429
angles (deg): 131.16 131.16 71.55
Fractional positions:
Mn 0.0000 0.0000 0.0000
In 0.2500 0.7500 0.5000
In 0.7500 0.2500 0.5000
Tc 0.5000 0.5000 0.0000

***

(14)
VASP calculation (GGA-PBE) on a geometry-optimized RuRhAu2 structure.

Output
E in eV per atom: -5.396
DFT formation energy in eV per atom: 0.40
Polymorph energy (0 for the lowest one) in eV/f.u.: 1.00

a b c (Å): 3.9503 3.9503 4.1566
angles (deg): 90.00 90.00 90.00
Fractional positions:
Ru 0.0000 0.0000 0.0000
Rh 0.5000 0.5000 0.0000
Au 0.0000 0.5000 0.5000
Au 0.5000 0.0000 0.5000

***

(15)
VASP calculation (GGA-PBE) on a geometry-optimized Ba2Ga2O5 structure.

Output
E in eV per atom: -5.996
Polymorph energy (0 for the lowest one) in eV/f.u.: 0.39

a b c (Å): 3.9959 3.9959 8.3080
angles (deg): 90.00 90.00 90.00
Fractional positions:
Ba 0.0000 0.0000 0.0000
Ba 0.0000 0.0000 0.5000
Ga 0.5000 0.5000 0.2284
Ga 0.5000 0.5000 0.7716
O 0.0000 0.5000 0.2703
O 0.0000 0.5000 0.7297
O 0.5000 0.0000 0.2703
O 0.5000 0.0000 0.7297
O 0.5000 0.5000 0.0000

***

(16)
VASP calculation (GGA-PBE) on a geometry-optimized Tl4HgBrCl2 structure.

Output
E in eV per atom: -2.517

a b c (Å): 8.1140 4.2363 8.3078
angles (deg): 90.00 104.55 90.00
Fractional positions:
Tl 0.2464 0.0000 0.2551
Tl 0.2501 0.5000 0.7330
Tl 0.7499 0.5000 0.2670
Tl 0.7536 0.0000 0.7449
Hg 0.0000 0.5000 0.0000
Br 0.5000 0.0000 0.0000
Cl 0.0000 0.0000 0.5000
Cl 0.5000 0.5000 0.5000

***

(17)
VASP calculation (GGA-PBE) on a geometry-optimized GeCI structure.

Output
E in eV per atom: -4.454
Polymorph energy (0 for the lowest one) in eV/f.u.: 0.00

a b c (Å): 3.2668 8.8141 3.2673
angles (deg): 90.00 119.92 90.00
Fractional positions:
Ge 0.0000 0.0000 0.0000
C 0.3335 0.0000 0.6665
I 0.6610 0.5000 0.3178

***

(18)
VASP calculation (GGA-PBE) on a geometry-optimized ErInNi2 structure.

Output
E in eV per atom: -5.113
DFT formation energy in eV per atom: -0.40

a b c (Å): 3.9789 5.1615 5.1615
angles (deg): 42.02 90.00 90.00
Fractional positions:
Er 0.0000 0.0000 0.0000
In 0.5000 0.7085 0.7085
Ni 0.0000 0.2833 0.2833
Ni 0.5000 0.4265 0.4265

***

(19)
VASP calculation (GGA-PBE) on a geometry-optimized CrRu2Pb structure.

Output
E in eV per atom: -7.489
DFT formation energy in eV per atom: 0.48

a b c (Å): 4.9503 4.9503 4.7000
angles (deg): 107.24 107.24 36.24
Fractional positions:
Cr 0.0000 0.0000 0.0000
Ru 0.4891 0.4891 0.4286
Ru 0.7263 0.7263 0.1097
Pb 0.2480 0.2480 0.6363

***

(20)
VASP calculation (GGA-PBE) on a geometry-optimized LaRhOF2 structure.

Output
E in eV per atom: -6.041
Polymorph energy (0 for the lowest one) in eV/f.u.: 0.00

a b c (Å): 4.6575 4.6575 4.6690
angles (deg): 90.00 90.00 90.00
Fractional positions:
La 0.0000 0.0000 0.0000
Rh 0.5000 0.5000 0.5000
O 0.0000 0.0000 0.5000
F 0.0000 0.5000 0.0000
F 0.5000 0.0000 0.0000